[1]
First-principles (GGA-PBE) data for a relaxed structure of Na3HfSe4, as listed in the Alexandria database.

The value obtained for the uncorrected formation energy is -8.70 eV per formula unit. Its total energy is -0.3358 Ry per atom. The density of states at the Fermi level is 16.0 states/eV/cell.

The space group is Cmmm (No. 65) and the conventional cell measures 8.684, 11.660 and 3.917 Å, with angles of 90.00, 90.00 and 90.00 degrees. The inequivalent atoms are Na at (0.000, 0.000, 0.000), Na at (0.250, 0.250, 0.500), Hf at (0.000, 0.500, 0.000), Se at (0.000, 0.272, 0.000) and Se at (0.216, 0.500, 0.500).

[2]
First-principles (GGA-PBE) data for a relaxed structure of Na5Hf3Se8, as listed in the Alexandria database.

The value obtained for the uncorrected formation energy is -20.25 eV per formula unit. Its total energy is -0.3885 Ry per atom. The density of states at the Fermi level is 13.1 states/eV/cell.

The space group is R-3m (No. 166, hexagonal axes) and the conventional cell measures 7.9001, 7.9001 and 20.9205 Å, with angles of 90.00, 90.00 and 120.00 degrees. The inequivalent atoms are Na at (0.0000, 0.0000, 0.0000), Na at (0.0000, 0.0000, 0.5000), Na at (0.0000, 0.5000, 0.0000), Hf at (0.0000, 0.5000, 0.5000), Se at (0.0000, 0.0000, 0.2404) and Se at (0.0166, 0.5083, 0.7599).

[3]
First-principles (GGA-PBE) data for a relaxed structure of NaHf2Se, as listed in the Alexandria database.

The value obtained for the uncorrected formation energy is 0.97 eV per formula unit. Its total energy is -0.4362 Ry per atom. The density of states at the Fermi level is 15.8 states/eV/cell.

The space group is I-42d (No. 122) and the conventional cell measures 4.105, 4.105 and 21.431 Å, with angles of 90.00, 90.00 and 90.00 degrees. The inequivalent atoms are Na at (0.000, 0.000, 0.000), Hf at (0.235, 0.250, 0.625) and Se at (0.000, 0.000, 0.500).

[4]
First-principles (GGA-PBE) data for a relaxed structure of Na3HfSe3, as listed in the Alexandria database.

The value obtained for the uncorrected formation energy is -7.47 eV per formula unit. Its total energy is -0.3342 Ry per atom. The density of states at the Fermi level is 3.6 states/eV/cell.

The space group is C2/m (No. 12) and the conventional cell measures 8.307, 12.809 and 7.512 Å, with angles of 90.00, 101.27 and 90.00 degrees. The inequivalent atoms are Na at (0.000, 0.167, 0.000), Na at (0.000, 0.265, 0.500), Na at (0.097, 0.500, 0.855), Hf at (0.172, 0.000, 0.640), Se at (0.119, 0.000, 0.286) and Se at (0.184, 0.338, 0.222).

[5]
First-principles (GGA-PBE) data for a relaxed structure of NaHfSe2, as listed in the Alexandria database.

The value obtained for the uncorrected formation energy is -3.00 eV per formula unit. Its total energy is -0.3903 Ry per atom. The density of states at the Fermi level is 15.4 states/eV/cell.

The space group is Fm-3m (No. 225) and the conventional cell measures 6.846, 6.846 and 6.846 Å, with angles of 90.00, 90.00 and 90.00 degrees. The inequivalent atoms are Na at (0.000, 0.000, 0.000), Hf at (0.000, 0.000, 0.500) and Se at (0.250, 0.250, 0.250).

[6]
First-principles (GGA-PBE) data for a relaxed structure of Na3Sm2HfSe6, as listed in the Alexandria database.

The value obtained for the uncorrected formation energy is -18.28 eV per formula unit. Its total energy is -0.3830 Ry per atom. The density of states at the Fermi level is 8.1 states/eV/cell.

The space group is C2/m (No. 12) and the conventional cell measures 7.079, 12.270 and 7.451 Å, with angles of 90.00, 108.62 and 90.00 degrees. The inequivalent atoms are Na at (0.000, 0.000, 0.000), Na at (0.000, 0.330, 0.000), Sm at (0.000, 0.166, 0.500), Hf at (0.000, 0.500, 0.500), Se at (0.233, 0.344, 0.731) and Se at (0.234, 0.500, 0.270).

[7]
First-principles (GGA-PBE) data for a relaxed structure of Na3Sm3HfSe8, as listed in the Alexandria database.

The value obtained for the uncorrected formation energy is -24.23 eV per formula unit. Its total energy is -0.3928 Ry per atom.

The space group is R-3m (No. 166, hexagonal axes) and the conventional cell measures 8.3055, 8.3055 and 21.2642 Å, with angles of 90.00, 90.00 and 120.00 degrees. The inequivalent atoms are Na at (0.0000, 0.5000, 0.0000), Sm at (0.0000, 0.5000, 0.5000), Hf at (0.0000, 0.0000, 0.5000), Se at (0.0000, 0.0000, 0.2450) and Se at (0.0231, 0.5116, 0.2402).

[8]
First-principles (GGA-PBE) data for a relaxed structure of Na2Hf2SnSe6, as listed in the Alexandria database.

The value obtained for the uncorrected formation energy is -12.75 eV per formula unit. Its total energy is -0.4023 Ry per atom.

The space group is C2/m (No. 12) and the conventional cell measures 6.903, 12.146 and 7.352 Å, with angles of 90.00, 107.41 and 90.00 degrees. The inequivalent atoms are Na at (0.000, 0.157, 0.000), Hf at (0.000, 0.333, 0.500), Sn at (0.000, 0.000, 0.500), Se at (0.204, 0.500, 0.722) and Se at (0.249, 0.182, 0.719).

[9]
First-principles (GGA-PBE) data for a relaxed structure of Na2HfSn3Se6, as listed in the Alexandria database.

The value obtained for the uncorrected formation energy is -10.11 eV per formula unit. Its total energy is -0.3407 Ry per atom.

The space group is C2/m (No. 12) and the conventional cell measures 7.340, 12.719 and 7.225 Å, with angles of 90.00, 109.13 and 90.00 degrees. The inequivalent atoms are Na at (0.000, 0.170, 0.000), Hf at (0.000, 0.500, 0.000), Sn at (0.000, 0.000, 0.500), Sn at (0.000, 0.340, 0.500), Se at (0.223, 0.500, 0.757) and Se at (0.228, 0.352, 0.229).

[10]
First-principles (GGA-PBE) data for a relaxed structure of Na2HfSnSe4, as listed in the Alexandria database.

The value obtained for the uncorrected formation energy is -8.47 eV per formula unit. Its total energy is -0.3584 Ry per atom. The density of states at the Fermi level is 0.5 states/eV/cell.

The space group is P2/m (No. 10) and the conventional cell measures 7.266, 4.031 and 7.290 Å, with angles of 90.00, 107.99 and 90.00 degrees. The inequivalent atoms are Na at (0.000, 0.000, 0.000), Na at (0.000, 0.500, 0.500), Hf at (0.500, 0.000, 0.500), Sn at (0.500, 0.500, 0.000), Se at (0.274, 0.000, 0.728) and Se at (0.282, 0.500, 0.280).

[11]
First-principles (GGA-PBE) data for a relaxed structure of Na2SrHfSe4, as listed in the Alexandria database.

The value obtained for the uncorrected formation energy is -11.49 eV per formula unit. Its total energy is -0.3647 Ry per atom.

The space group is P2/m (No. 10) and the conventional cell measures 7.356, 4.100 and 7.367 Å, with angles of 90.00, 108.57 and 90.00 degrees. The inequivalent atoms are Na at (0.000, 0.000, 0.000), Na at (0.500, 0.500, 0.000), Sr at (0.000, 0.500, 0.500), Hf at (0.500, 0.000, 0.500), Se at (0.282, 0.000, 0.730) and Se at (0.286, 0.500, 0.279).

[12]
First-principles (GGA-PBE) data for a relaxed structure of Na2TbHf2Se6, as listed in the Alexandria database.

The value obtained for the uncorrected formation energy is -15.84 eV per formula unit. Its total energy is -0.4271 Ry per atom. The density of states at the Fermi level is 8.5 states/eV/cell.

The space group is C2/m (No. 12) and the conventional cell measures 6.739, 11.775 and 7.511 Å, with angles of 90.00, 107.02 and 90.00 degrees. The inequivalent atoms are Na at (0.000, 0.161, 0.000), Tb at (0.000, 0.000, 0.500), Hf at (0.000, 0.333, 0.500), Se at (0.218, 0.500, 0.722) and Se at (0.247, 0.175, 0.722).